Entry 1:
# LaHfFe2B

An optimized crystal structure of LaHfFe2B (PBE-GGA, Alexandria).

a b c (Å): 4.1442 4.1442 4.5732
angles (deg): 90.00 90.00 90.00
Last column: nearest neighbours and their distance in Å.
Space group P4/mmm (No. 123)
Inequivalent atoms, fractional coordinates:
La (0.0000, 0.0000, 0.0000)  4 Hf 2.93, 8 Fe 3.09
Hf (0.5000, 0.5000, 0.0000)  2 B 2.29
Fe (0.0000, 0.5000, 0.5000)  2 B 2.07
B (0.5000, 0.5000, 0.5000)  4 Fe 2.07, 2 Hf 2.29

Output
energy of formation: 0.302 eV per atom


Entry 2:
# Hf2MnFeB

An optimized crystal structure of Hf2MnFeB (PBE-GGA, Alexandria).

a b c (Å): 4.5753 4.5753 3.6836
angles (deg): 90.00 90.00 90.00
Last column: nearest neighbours and their distance in Å.
Space group P4/mmm (No. 123)
Inequivalent atoms, fractional coordinates:
Hf (0.0000, 0.5000, 0.0000)  2 B 2.29
Mn (0.0000, 0.0000, 0.5000)  2 B 1.84
Fe (0.5000, 0.5000, 0.5000)  8 Hf 2.94, 4 Mn 3.24
B (0.0000, 0.0000, 0.0000)  2 Mn 1.84

Output
energy of formation: -0.016 eV per atom


Entry 3:
# Hf2Fe5B2Mo

An optimized crystal structure of Hf2Fe5B2Mo (PBE-GGA, Alexandria).

a b c (Å): 8.8324 8.8324 2.9896
angles (deg): 90.00 90.00 90.00
Last column: nearest neighbours and their distance in Å.
Space group P4/mbm (No. 127)
Inequivalent atoms, fractional coordinates:
Hf (0.1750, 0.3250, 0.0000)  3 B 2.57-2.64, 10 Fe 2.65-2.78
Fe (0.0000, 0.5000, 0.5000)  4 B 2.11
Fe (0.0688, 0.7804, 0.5000)  2 B 2.11
B (0.1190, 0.6190, 0.0000)  6 Fe 2.11
Mo (0.0000, 0.0000, 0.0000)  8 Fe 2.52

Output
energy of formation: -0.427 eV per atom